Entry 1:
First-principles (GGA-PBE) data for a geometry-optimized Tm6ZnTc structure, as listed in Alexandria via LeMat-Bulk.

## Properties
Its volume is 410.46 Å³ per cell. The calculated total energy comes out at -0.17957 Ha/atom. The value obtained for the energy of formation is -0.08 eV per atom. As for the crystal system: tetragonal.

Geometry as CIF:
```
data_Tm6ZnTc
_cell_length_a 4.9031
_cell_length_b 4.9031
_cell_length_c 17.0736
_cell_angle_alpha 90.00
_cell_angle_beta 90.00
_cell_angle_gamma 90.00
_space_group_name_H-M_alt 'I 4/m m m'
_space_group_IT_number 139
_space_group_name_Hall '-I 4 2'
loop_
_atom_site_label
_atom_site_type_symbol
_atom_site_fract_x
_atom_site_fract_y
_atom_site_fract_z
_atom_site_occupancy
Tm1 Tm 0.0000 0.0000 0.2479 1
Tm2 Tm 0.0000 0.5000 0.0975 1
Zn1 Zn 0.0000 0.0000 0.5000 1
Tc1 Tc 0.0000 0.0000 0.0000 1
```

---

Entry 2:
First-principles (GGA-PBE) data for a geometry-optimized Tm8Zn2Tc structure, as listed in Alexandria via LeMat-Bulk.

## Properties
Its energy above the most stable polymorph in this dataset is 116 meV/atom. Its volume is 551.14 Å³ per cell. The calculated total energy comes out at -0.16430 Ha/atom. The value obtained for the energy of formation is -0.04 eV per atom. As for the crystal system: orthorhombic.

Geometry as CIF:
```
data_Tm8Zn2Tc
_cell_length_a 4.9327
_cell_length_b 8.2060
_cell_length_c 13.6158
_cell_angle_alpha 90.00
_cell_angle_beta 90.00
_cell_angle_gamma 90.00
_space_group_name_H-M_alt 'I m m m'
_space_group_IT_number 71
_space_group_name_Hall '-I 2 2'
loop_
_atom_site_label
_atom_site_type_symbol
_atom_site_fract_x
_atom_site_fract_y
_atom_site_fract_z
_atom_site_occupancy
Tm1 Tm 0.0000 0.0000 0.1252 1
Tm2 Tm 0.0000 0.2253 0.3470 1
Tm3 Tm 0.0000 0.3268 0.0000 1
Zn1 Zn 0.0000 0.5000 0.1954 1
Tc1 Tc 0.0000 0.5000 0.5000 1
```